{"formula": "MnAlRe2Os", "functional": "PBE", "state": "relaxed", "m_tot_mub_per_atom": 0.000, "e_form_ev_per_atom": 1.758, "lattice": [[4.377, 0.000, 0.000], [0.000, 4.086, 0.000], [0.000, 0.000, 4.377]], "species": ["Al", "Os", "Re", "Mn", "Re"], "frac_coords": [[0.000, 0.000, 0.000], [0.500, 0.500, 0.500], [0.500, 0.000, 0.000], [0.000, 0.500, 0.000], [0.000, 0.000, 0.500]]}